a) Entry from Alexandria: a geometry-optimized BaBeRu3 structure (PBE).

```
5
Lattice="-1.2496 3.0025 3.0309 -4.2629 -0.7518 -1.0127 -0.1714 -3.1910 3.0904" Properties=species:S:1:pos:R:3 pbc="T T T"
Ru -2.1314 -0.3759 -0.5064
Ru -0.0857 -1.5955 1.5452
Ru -0.6248 1.5012 1.5155
Ba -2.8419 -0.4702 2.5543
Be 0.0000 0.0000 0.0000
```

SG   Pm-3m (221)
Size of the total moment   1.31 μB/f.u.


b) Entry from Alexandria: a geometry-optimized BaBeRu3 structure (PBE).

```
5
Lattice="-1.9790 4.3642 -1.3788 -2.4006 -2.2688 -3.7354 -3.8967 -0.8187 3.0015" Properties=species:S:1:pos:R:3 pbc="T T T"
Ru -1.2003 -1.1344 -1.8677
Ru -1.9483 -0.4093 1.5008
Ru -0.9895 2.1821 -0.6894
Ba 0.0000 0.0000 0.0000
Be -4.1382 0.6384 -1.0563
```

SG   Pm-3m (221)
Size of the total moment   3.18 μB/f.u.


In terms of stability, a) leads; the second structure lies 2.213 eV/atom higher.


a) Entry from Alexandria: a geometry-optimized BaBe3Ru structure (PBE).

```
5
Lattice="-1.0508 0.5543 -4.3520 -2.6452 -3.6502 0.1738 -3.5000 2.5923 1.1752" Properties=species:S:1:pos:R:3 pbc="T T T"
Ru 0.0000 0.0000 0.0000
Ba -3.5980 -0.2518 -1.5015
Be -1.3226 -1.8251 0.0869
Be -1.7500 1.2961 0.5876
Be -0.5254 0.2771 -2.1760
```

SG   Pm-3m (221)
Size of the total moment   0.00 μB/f.u.


b) Entry from Alexandria: a geometry-optimized BaBe3Ru structure (PBE).

```
5
Lattice="-0.8528 2.6624 3.8852 2.5757 -3.0420 2.6499 3.9431 2.5629 -0.8907" Properties=species:S:1:pos:R:3 pbc="T T T"
Ru 2.8330 1.0916 2.8222
Ba 0.0000 0.0000 0.0000
Be 1.2879 -1.5210 1.3250
Be 1.9716 1.2814 -0.4453
Be -0.4264 1.3312 1.9426
```

SG   Pm-3m (221)
Size of the total moment   2.33 μB/f.u.


In terms of stability, a) leads; the second structure lies 2.531 eV/atom higher.


a) Entry from Alexandria: a geometry-optimized Ba2BeS2 structure (PBE).

```
5
Lattice="6.3067 0.0000 0.0000 0.0000 6.3067 0.0000 3.1534 3.1534 4.5331" Properties=species:S:1:pos:R:3 pbc="T T T"
Be 0.0000 0.0000 0.0000
S 3.1534 3.1534 2.5840
S 6.3067 6.3067 1.9491
Ba 6.3067 3.1534 2.2666
Ba 3.1534 6.3067 2.2666
```

SG   I4/mmm (139)
Size of the total moment   0.00 μB/f.u.


b) Entry from Alexandria: a geometry-optimized Ba2BeS2 structure (PBE).

```
10
Lattice="8.3616 0.0000 0.0000 0.0000 8.3616 0.0000 0.0000 0.0000 4.1104" Properties=species:S:1:pos:R:3 pbc="T T T"
Be 0.0000 0.0000 0.0000
Be 4.1808 4.1808 0.0000
S 2.8893 7.0701 0.0000
S 7.0701 5.4724 0.0000
S 5.4724 1.2916 0.0000
S 1.2916 2.8893 0.0000
Ba 1.2905 5.4713 2.0552
Ba 5.4713 7.0712 2.0552
Ba 7.0712 2.8903 2.0552
Ba 2.8903 1.2905 2.0552
```

SG   P4/mbm (127)
Size of the total moment   0.00 μB/f.u.


In terms of stability, a) leads; the second structure lies 0.136 eV/atom higher.


a) Entry from Alexandria: a geometry-optimized BaBeS3 structure (PBE).

```
5
Lattice="4.6375 0.0000 0.0000 0.0000 4.6375 0.0000 0.0000 0.0000 4.6375" Properties=species:S:1:pos:R:3 pbc="T T T"
Be 0.0000 0.0000 0.0000
S 0.0000 2.3188 0.0000
S 0.0000 0.0000 2.3188
S 2.3188 0.0000 0.0000
Ba 2.3188 2.3188 2.3188
```

SG   Pm-3m (221)
Size of the total moment   0.00 μB/f.u.


b) Entry from Alexandria: a geometry-optimized BaBeS3 structure (PBE).

```
5
Lattice="6.0328 0.0000 0.0000 0.0000 6.0328 0.0000 0.0000 0.0000 6.0328" Properties=species:S:1:pos:R:3 pbc="T T T"
Be 3.0164 3.0164 3.0164
S 0.0000 3.0164 0.0000
S 0.0000 0.0000 3.0164
S 3.0164 0.0000 0.0000
Ba 0.0000 0.0000 0.0000
```

SG   Pm-3m (221)
Size of the total moment   4.00 μB/f.u.


In terms of stability, a) leads; the second structure lies 1.713 eV/atom higher.


a) Entry from Alexandria: a geometry-optimized BaBe3S structure (PBE).

```
5
Lattice="-2.5778 3.5548 -3.6221 -1.9361 -4.4442 -2.9837 -4.6913 -0.1193 3.2217" Properties=species:S:1:pos:R:3 pbc="T T T"
Be -0.9680 -2.2221 -1.4918
Be -2.3456 -0.0596 1.6109
Be -1.2889 1.7774 -1.8111
S -4.6026 -0.5043 -1.6921
Ba 0.0000 0.0000 0.0000
```

SG   Pm-3m (221)
Size of the total moment   0.00 μB/f.u.


b) Entry from Alexandria: a geometry-optimized BaBe3S structure (PBE).

```
5
Lattice="-0.4487 1.6200 4.2649 0.2755 -4.2680 1.6502 4.5538 0.4179 0.3204" Properties=species:S:1:pos:R:3 pbc="T T T"
Be 0.1378 -2.1340 0.8251
Be 2.2769 0.2089 0.1602
Be -0.2243 0.8100 2.1324
S 0.0000 0.0000 0.0000
Ba 2.1903 -1.1150 3.1177
```

SG   Pm-3m (221)
Size of the total moment   0.00 μB/f.u.


In terms of stability, b) leads; the second structure lies 1.451 eV/atom higher.


a) Entry from Alexandria: a geometry-optimized BaBeSb structure (PBE).

```
3
Lattice="-2.9201 1.6488 -2.6970 -1.1463 -1.1076 3.9973 1.1765 4.8202 1.6731" Properties=species:S:1:pos:R:3 pbc="T T T"
Sb -1.1495 2.2206 2.6021
Ba 0.0002 0.0007 0.0002
Be -1.7406 3.1402 0.3710
```

SG   P-6m2 (187)
Size of the total moment   0.00 μB/f.u.


b) Entry from Alexandria: a geometry-optimized BaBeSb structure (PBE).

```
3
Lattice="-1.6608 4.3038 2.8300 -2.8739 -0.6876 4.5340 2.2268 1.1003 4.8083" Properties=species:S:1:pos:R:3 pbc="T T T"
Sb -1.1539 2.3582 6.0862
Ba -1.7309 3.5374 9.1292
Be 0.0000 0.0000 0.0000
```

SG   F-43m (216)
Size of the total moment   0.00 μB/f.u.


In terms of stability, a) leads; the second structure lies 1.019 eV/atom higher.


a) Entry from Alexandria: a geometry-optimized BaBeSb structure (PBE).

```
3
Lattice="-0.3713 -1.3606 -5.1336 -4.4686 -2.2280 -1.8469 -3.1938 2.7449 -3.2571" Properties=species:S:1:pos:R:3 pbc="T T T"
Sb -6.0253 -0.6328 -7.6782
Ba 0.0000 0.0000 0.0000
Be -4.0168 -0.4219 -5.1188
```

SG   F-43m (216)
Size of the total moment   0.00 μB/f.u.


b) Entry from Alexandria: a geometry-optimized BaBeSb structure (PBE).

```
6
Lattice="-0.5683 0.7665 -4.1929 1.3525 -3.8640 1.3154 -9.9058 -3.2101 0.7558" Properties=species:S:1:pos:R:3 pbc="T T T"
Ba 0.0000 0.0000 0.0000
Ba -4.9529 -1.6050 0.3779
Be -2.4044 -1.5799 -2.1680
Be -6.7172 -4.7278 0.0462
Sb -1.7641 -3.1234 -0.3318
Sb -7.3575 -3.1843 -1.7899
```

SG   P6_3/mmc (194)
Size of the total moment   0.00 μB/f.u.


In terms of stability, b) leads; the second structure lies 0.759 eV/atom higher.


a) Entry from Alexandria: a geometry-optimized BaBeSb structure (PBE).

```
3
Lattice="-0.1275 2.6823 4.1551 -0.3745 -2.2533 4.3884 3.8601 -0.0470 3.0940" Properties=species:S:1:pos:R:3 pbc="T T T"
Sb 0.0000 0.0000 0.0000
Ba 1.6791 0.1910 5.8188
Be 2.5186 0.2865 8.7282
```

SG   F-43m (216)
Size of the total moment   0.00 μB/f.u.


b) Entry from Alexandria: a geometry-optimized BaBeSb structure (PBE).

```
3
Lattice="-5.6229 -3.0361 -1.2432 -2.3611 -2.7755 -5.3947 5.0849 0.6037 4.0201" Properties=species:S:1:pos:R:3 pbc="T T T"
Sb -5.7088 -4.1554 -4.7462
Ba -7.9758 -5.8056 -6.6310
Be -2.2836 -1.6623 -1.8986
```

SG   Imm2 (44)
Size of the total moment   0.00 μB/f.u.


In terms of stability, a) leads; the second structure lies 0.078 eV/atom higher.